Computed, not measured: crystalline Ni2AgRu at its relaxed geometry at the PBE-GGA level of DFT.

- formation enthalpy at 0 K (eV per atom) = 0.26
- total energy (eV per atom) = -5.6625
- N(E_F) (states/eV/f.u.) = 5.52
- magnetic moment (μB per cell) = 0.0

a = 3.554 Å, b = 2.689 Å, c = 6.260 Å
α = 64.47°, β = 90.00°, γ = 90.00°
Fractional positions:
Ni: 0.000 0.969 0.032
Ni: 0.000 0.531 0.468
Ru: 0.500 0.250 0.250
Ag: 0.500 0.750 0.750

***

Computed, not measured: crystalline NiAgRu4 at its relaxed geometry at the PBE-GGA level of DFT.

- formation enthalpy at 0 K (eV per atom) = 0.76
- total energy (eV per atom) = -6.8665
- N(E_F) (states/eV/f.u.) = 9.79
- magnetic moment (μB per cell) = 4.6

a = 5.099 Å, b = 5.099 Å, c = 5.099 Å
α = 60.00°, β = 60.00°, γ = 60.00°
Site moments in Bohr magnetons follow the coordinates.
Fractional positions:
Ru: 0.876 0.375 0.375  0.90
Ru: 0.375 0.375 0.375  0.90
Ru: 0.375 0.876 0.375  0.90
Ru: 0.375 0.375 0.876  0.90
Ni: 0.000 0.000 0.000  0.88
Ag: 0.750 0.750 0.750  0.06

***

Computed, not measured: crystalline Ni2AgRu at its relaxed geometry at the PBE-GGA level of DFT.

- formation enthalpy at 0 K (eV per atom) = 0.29
- total energy (eV per atom) = -5.6312
- N(E_F) (states/eV/f.u.) = 5.15
- magnetic moment (μB per cell) = 0.4

a = 2.669 Å, b = 2.669 Å, c = 7.532 Å
α = 90.00°, β = 90.00°, γ = 90.00°
Site moments in Bohr magnetons follow the coordinates.
Fractional positions:
Ru: 0.000 0.000 0.466  -0.05
Ni: 0.500 0.500 0.242  0.09
Ni: 0.000 0.000 0.029  0.37
Ag: 0.500 0.500 0.763  0.00

***

Computed, not measured: crystalline NiAgRu3 at its relaxed geometry at the PBE-GGA level of DFT.

- formation enthalpy at 0 K (eV per atom) = 1.48
- total energy (eV per atom) = -5.8158
- N(E_F) (states/eV/f.u.) = 5.14
- magnetic moment (μB per cell) = 5.6

a = 4.479 Å, b = 4.479 Å, c = 4.479 Å
α = 90.00°, β = 90.00°, γ = 90.00°
Site moments in Bohr magnetons follow the coordinates.
Fractional positions:
Ru: 0.500 0.000 0.000  1.30
Ru: 0.000 0.500 0.000  1.57
Ru: 0.000 0.000 0.500  1.89
Ag: 0.500 0.500 0.500  0.03
Ni: 0.000 0.000 0.000  0.78

***

Computed, not measured: crystalline NiAgRu2 at its relaxed geometry at the PBE-GGA level of DFT.

- formation enthalpy at 0 K (eV per atom) = 0.47
- total energy (eV per atom) = -6.3276
- N(E_F) (states/eV/f.u.) = 5.75
- magnetic moment (μB per cell) = 0.0

a = 2.655 Å, b = 3.875 Å, c = 5.582 Å
α = 90.00°, β = 90.00°, γ = 90.00°
Fractional positions:
Ag: 0.500 0.500 0.250
Ru: 0.000 0.000 0.534
Ru: 0.000 0.000 0.966
Ni: 0.500 0.500 0.750

***

Computed, not measured: crystalline Ni2AgRu at its relaxed geometry at the PBE-GGA level of DFT.

- formation enthalpy at 0 K (eV per atom) = 0.33
- total energy (eV per atom) = -5.5889
- N(E_F) (states/eV/f.u.) = 5.18
- magnetic moment (μB per cell) = 1.8

a = 4.577 Å, b = 4.577 Å, c = 2.657 Å
α = 90.00°, β = 90.00°, γ = 105.39°
Site moments in Bohr magnetons follow the coordinates.
Fractional positions:
Ru: 0.500 0.000 0.500  0.74
Ag: 0.000 0.500 0.500  0.03
Ni: 0.500 0.500 0.000  0.54
Ni: 0.000 0.000 0.000  0.54

***

Computed, not measured: crystalline Ni2AgRu at its relaxed geometry at the PBE-GGA level of DFT.

- formation enthalpy at 0 K (eV per atom) = 0.37
- total energy (eV per atom) = -5.5529
- N(E_F) (states/eV/f.u.) = 3.27
- magnetic moment (μB per cell) = 3.1

a = 4.482 Å, b = 4.482 Å, c = 4.482 Å
α = 128.01°, β = 127.99°, γ = 76.62°
Site moments in Bohr magnetons follow the coordinates.
Fractional positions:
Ni: 0.500 0.500 0.000  0.78
Ni: 0.000 0.000 0.000  0.78
Ag: 0.250 0.750 0.500  0.05
Ru: 0.750 0.250 0.500  1.57

***

Computed, not measured: crystalline NiAgRu2 at its relaxed geometry at the PBE-GGA level of DFT.

- formation enthalpy at 0 K (eV per atom) = 0.58
- total energy (eV per atom) = -6.2176
- N(E_F) (states/eV/f.u.) = 6.07
- magnetic moment (μB per cell) = 1.6

a = 4.335 Å, b = 4.335 Å, c = 4.335 Å
α = 60.00°, β = 60.00°, γ = 60.00°
Site moments in Bohr magnetons follow the coordinates.
Fractional positions:
Ni: 0.750 0.750 0.750  0.53
Ru: 0.250 0.250 0.250  0.38
Ru: 0.000 0.000 0.000  0.69
Ag: 0.500 0.500 0.500  0.01

***

Computed, not measured: crystalline NiAgRu2 at its relaxed geometry at the PBE-GGA level of DFT.

- formation enthalpy at 0 K (eV per atom) = 0.68
- total energy (eV per atom) = -6.1177
- N(E_F) (states/eV/f.u.) = 4.01
- magnetic moment (μB per cell) = 0.0

a = 4.315 Å, b = 4.315 Å, c = 4.315 Å
α = 60.00°, β = 60.00°, γ = 60.00°
Fractional positions:
Ag: 0.500 0.500 0.500
Ru: 0.750 0.750 0.750
Ru: 0.250 0.250 0.250
Ni: 0.000 0.000 0.000

***

Computed, not measured: crystalline Ni4AgRu at its relaxed geometry at the PBE-GGA level of DFT.

- formation enthalpy at 0 K (eV per atom) = 0.22
- total energy (eV per atom) = -5.6550
- N(E_F) (states/eV/f.u.) = 4.23
- magnetic moment (μB per cell) = 4.2

a = 4.752 Å, b = 4.752 Å, c = 4.752 Å
α = 60.00°, β = 60.00°, γ = 60.00°
Site moments in Bohr magnetons follow the coordinates.
Fractional positions:
Ni: 0.625 0.125 0.625  0.66
Ni: 0.125 0.625 0.625  0.66
Ni: 0.625 0.625 0.125  0.66
Ni: 0.625 0.625 0.625  0.66
Ru: 0.250 0.250 0.250  1.69
Ag: 0.000 0.000 0.000  0.02

***

Computed, not measured: crystalline NiAgRu2 at its relaxed geometry at the PBE-GGA level of DFT.

- formation enthalpy at 0 K (eV per atom) = 0.57
- total energy (eV per atom) = -6.2301
- N(E_F) (states/eV/f.u.) = 6.13
- magnetic moment (μB per cell) = 1.1

a = 2.766 Å, b = 4.483 Å, c = 4.650 Å
α = 90.00°, β = 90.00°, γ = 90.00°
Site moments in Bohr magnetons follow the coordinates.
Fractional positions:
Ni: 0.000 0.500 0.500  0.36
Ru: 0.500 0.500 0.000  0.38
Ru: 0.000 0.000 0.000  0.31
Ag: 0.500 0.000 0.500  0.01

***

Computed, not measured: crystalline NiAgRu at its relaxed geometry at the PBE-GGA level of DFT.

- formation enthalpy at 0 K (eV per atom) = 0.32
- total energy (eV per atom) = -5.6446
- N(E_F) (states/eV/f.u.) = 3.54
- magnetic moment (μB per cell) = 0.0

a = 6.216 Å, b = 6.219 Å, c = 6.219 Å
α = 155.01°, β = 155.01°, γ = 35.64°
Fractional positions:
Ni: 0.323 0.322 0.001
Ru: 0.683 0.683 0.000
Ag: 0.994 0.994 0.000